# 1
Density functional theory data (PBE) for crystalline Ca2Zn3Ag4 at its relaxed geometry.

Computed properties:
DFT formation energy ... -2.21 eV/f.u.
Mass density ... 6.607 g cm⁻³

Cell lengths 8.4954, 7.5401, 5.4321 Å; angles 80.02, 60.94, 39.03 degrees
Last column: nearest neighbours and their distance in Å.
Fractional coordinates of all 9 atoms:
Ca1 0.1354 0.1354 0.8646  8 Ag 3.13-3.19, 6 Zn 3.28-3.32
Ca2 0.8646 0.8646 0.1354  8 Ag 3.13-3.19, 6 Zn 3.28-3.32
Zn1 0.0000 0.0000 0.5000  4 Zn 2.66-2.72, 4 Ag 2.83
Zn2 0.5000 0.5000 0.0000  4 Zn 2.66-2.72, 4 Ag 2.83
Zn3 0.5000 0.5000 0.5000  4 Zn 2.72, 4 Ag 2.84
Ag1 0.1660 0.4984 0.5016  4 Ag 2.81-3.15, 3 Zn 2.83-2.84, 2 Ca 3.13
Ag2 0.4984 0.1660 0.8340  4 Ag 2.81-3.15, 3 Zn 2.83-2.84, 2 Ca 3.13
Ag3 0.5016 0.8340 0.1660  4 Ag 2.81-3.15, 3 Zn 2.83-2.84, 2 Ca 3.13
Ag4 0.8340 0.5016 0.4984  4 Ag 2.81-3.15, 3 Zn 2.83-2.84, 2 Ca 3.13

=====

# 2
Density functional theory data (PBE) for crystalline Nd4HgBr5 at its relaxed geometry.

Computed properties:
Mass density ... 5.734 g cm⁻³
Total DFT energy (no corrections) ... -4.1108 eV per atom

Cell lengths 9.5606, 9.5606, 9.0238 Å; angles 101.53, 101.53, 24.98 degrees
Last column: nearest neighbours and their distance in Å.
Fractional coordinates of all 10 atoms:
Nd1 0.0034 0.0034 0.2429  2 Hg 3.00, 4 Br 3.02-3.13
Nd2 0.3359 0.3359 0.9269  1 Hg 3.00, 5 Br 3.03-3.08
Nd3 0.6641 0.6641 0.0731  1 Hg 3.00, 5 Br 3.03-3.08
Nd4 0.9966 0.9966 0.7571  2 Hg 3.00, 4 Br 3.02-3.13
Hg1 0.5000 0.5000 0.0000  6 Nd 3.00
Br1 0.1684 0.1684 0.3204  3 Nd 3.02-3.03
Br2 0.1681 0.1681 0.8237  4 Nd 3.07-3.13
Br3 0.5000 0.5000 0.5000  4 Nd 3.12
Br4 0.8319 0.8319 0.1763  4 Nd 3.07-3.13
Br5 0.8316 0.8316 0.6796  3 Nd 3.02-3.03

=====

# 3
Density functional theory data (PBE) for crystalline La3LuF at its relaxed geometry.

Computed properties:
Mass density ... 7.032 g cm⁻³
Total DFT energy (no corrections) ... -5.2445 eV per atom

Cell lengths 5.2439, 5.2439, 5.2439 Å; angles 90.00, 90.00, 90.00 degrees
Last column: nearest neighbours and their distance in Å.
Fractional coordinates of all 5 atoms:
La1 0.0000 0.0000 0.5000  2 F 2.62
La2 0.0000 0.5000 0.0000  2 F 2.62
La3 0.5000 0.0000 0.0000  2 F 2.62
Lu1 0.5000 0.5000 0.5000  12 La 3.71
F1 0.0000 0.0000 0.0000  6 La 2.62

=====

# 4
Density functional theory data (PBE) for crystalline ReHgOs4 at its relaxed geometry.

Computed properties:
DFT formation energy ... 5.82 eV/f.u.
Mass density ... 19.548 g cm⁻³

Cell lengths 5.1662, 5.1662, 5.1662 Å; angles 60.00, 60.00, 60.00 degrees
Last column: nearest neighbours and their distance in Å.
Fractional coordinates of all 6 atoms:
Re1 0.0000 0.0000 0.0000  12 Os 3.03, 4 Hg 3.16
Hg1 0.7500 0.7500 0.7500  12 Os 3.03, 4 Re 3.16
Os1 0.3748 0.3748 0.3748  6 Os 2.58-2.59
Os2 0.3748 0.3748 0.8756  6 Os 2.58-2.59
Os3 0.3748 0.8756 0.3748  6 Os 2.58-2.59
Os4 0.8756 0.3748 0.3748  6 Os 2.58-2.59

=====

Among the records above, which one has the highest mass density? ReHgOs4

=====

mass density of number 2 (Nd4HgBr5)? 5.734 g cm⁻³

=====

The highest mass density belongs to which entry? ReHgOs4